Entry 1:
DFT (PBE) results for RbHfSbO2 after structural relaxation.

Calculated total energy, eV/atom: -3.978
DOS at the Fermi energy, states/eV per atom: 1.109
Magnetic moment, μB per formula unit: 1.0

The structure in POSCAR format:
```
RbHfSbO2
1.0
4.258 0.000 0.000
0.000 4.258 0.000
0.000 0.000 7.313
Rb Hf Sb O
1 1 1 2
direct
0.000 0.000 0.000
0.000 0.000 0.500
0.500 0.500 0.500
0.000 0.500 0.000
0.500 0.000 0.000
```

Entry 2:
DFT (PBE) results for Ta2FeAu after structural relaxation.

Calculated total energy, eV/atom: -8.163
DOS at the Fermi energy, states/eV per atom: 1.278
Energy relative to the elements, kJ/mol of atoms: 67.3
Magnetic moment, μB per formula unit: 0.0

The structure in POSCAR format:
```
Ta2FeAu
1.0
-1.971 1.971 9.104
1.971 -1.971 9.104
1.971 1.971 -9.104
Ta Fe Au
4 2 2
direct
0.113 0.625 0.988
0.375 0.363 0.488
0.637 0.125 0.012
0.875 0.887 0.512
0.000 0.000 0.000
0.750 0.250 0.500
0.250 0.750 0.500
0.500 0.500 0.000
```

Entry 3:
DFT (PBE) results for CaTlI2N after structural relaxation.

Calculated total energy, eV/atom: -2.915
DOS at the Fermi energy, states/eV per atom: 0.857
Magnetic moment, μB per formula unit: 0.5

The structure in POSCAR format:
```
CaTlI2N
1.0
6.305 0.000 0.000
0.000 6.305 0.000
0.000 0.000 4.102
Ca Tl I N
1 1 2 1
direct
0.000 0.000 0.000
0.500 0.500 0.500
0.000 0.500 0.500
0.500 0.000 0.500
0.500 0.500 0.000
```

Entry 4:
DFT (PBE) results for Li5B8C8 after structural relaxation.

Calculated total energy, eV/atom: -6.630
DOS at the Fermi energy, states/eV per atom: 0.162
Energy relative to the elements, kJ/mol of atoms: -11.3
Magnetic moment, μB per formula unit: 0.0

The structure in POSCAR format:
```
Li5B8C8
1.0
2.722 0.000 0.000
0.028 4.715 0.000
1.094 2.004 13.911
Li B C
5 8 8
direct
0.000 0.000 0.000
0.105 0.123 0.742
0.395 0.378 0.257
0.605 0.622 0.743
0.895 0.877 0.258
0.052 0.401 0.871
0.160 0.845 0.613
0.340 0.655 0.387
0.447 0.101 0.133
0.553 0.899 0.867
0.660 0.345 0.613
0.840 0.155 0.387
0.948 0.599 0.129
0.058 0.736 0.865
0.153 0.511 0.617
0.346 0.989 0.383
0.443 0.766 0.131
0.557 0.234 0.869
0.654 0.011 0.617
0.847 0.489 0.383
0.942 0.264 0.135
```

Entry 5:
DFT (PBE) results for DyHoIr after structural relaxation.

Calculated total energy, eV/atom: -6.725
DOS at the Fermi energy, states/eV per atom: 1.022
Energy relative to the elements, kJ/mol of atoms: -68.6
Magnetic moment, μB per formula unit: 0.0

The structure in POSCAR format:
```
DyHoIr
1.0
0.000 3.389 3.389
3.389 0.000 3.389
3.389 3.389 0.000
Dy Ho Ir
1 1 1
direct
0.000 0.000 0.000
0.500 0.500 0.500
0.750 0.750 0.750
```

Entry 6:
DFT (PBE) results for ScAs2Pd7 after structural relaxation.

Calculated total energy, eV/atom: -5.780
DOS at the Fermi energy, states/eV per atom: 0.465
Energy relative to the elements, kJ/mol of atoms: -56.2
Magnetic moment, μB per formula unit: 0.0

The structure in POSCAR format:
```
ScAs2Pd7
1.0
-2.035 2.035 10.120
2.035 -2.035 10.120
2.035 2.035 -10.120
Sc As Pd
1 2 7
direct
0.000 0.000 0.000
0.328 0.328 0.000
0.672 0.672 0.000
0.099 0.599 0.500
0.250 0.750 0.500
0.401 0.901 0.500
0.500 0.500 0.000
0.599 0.099 0.500
0.750 0.250 0.500
0.901 0.401 0.500
```

Entry 7:
DFT (PBE) results for CaNbOsSe2 after structural relaxation.

Calculated total energy, eV/atom: -5.661
DOS at the Fermi energy, states/eV per atom: 0.958
Magnetic moment, μB per formula unit: 2.3

The structure in POSCAR format:
```
CaNbOsSe2
1.0
5.104 0.000 0.000
0.000 5.104 0.000
0.000 0.000 4.851
Ca Nb Os Se
1 1 1 2
direct
0.000 0.000 0.000
0.500 0.500 0.000
0.500 0.500 0.500
0.000 0.500 0.500
0.500 0.000 0.500
```

Entry 8:
DFT (PBE) results for Mg7InGa5 after structural relaxation.

Calculated total energy, eV/atom: -2.313
DOS at the Fermi energy, states/eV per atom: 0.412
Energy relative to the elements, kJ/mol of atoms: -7.7
Magnetic moment, μB per formula unit: 0.0

The structure in POSCAR format:
```
Mg7InGa5
1.0
-2.752 4.967 5.014
2.752 -4.967 5.014
2.752 4.967 -5.014
Mg In Ga
7 1 5
direct
0.000 0.000 0.000
0.289 0.633 0.656
0.302 0.302 0.000
0.442 0.122 0.319
0.803 0.122 0.681
0.864 0.364 0.500
0.977 0.633 0.344
0.671 0.671 0.000
0.125 0.128 0.497
0.125 0.628 0.997
0.390 0.890 0.500
0.631 0.128 0.003
0.631 0.628 0.503
```

Entry 9:
DFT (PBE) results for SrPu2Cl11 after structural relaxation.

Calculated total energy, eV/atom: -5.270
DOS at the Fermi energy, states/eV per atom: 1.605
Magnetic moment, μB per formula unit: 7.0

The structure in POSCAR format:
```
SrPu2Cl11
1.0
-5.900 5.902 6.731
5.900 -5.902 6.731
5.900 5.902 -6.731
Sr Pu Cl
2 4 22
direct
0.250 0.250 0.000
0.750 0.750 0.000
0.163 0.664 0.827
0.337 0.164 0.500
0.663 0.836 0.500
0.837 0.336 0.173
0.000 0.500 0.500
0.075 0.355 0.161
0.087 0.926 0.282
0.144 0.426 0.839
0.191 0.310 0.500
0.194 0.914 0.839
0.306 0.145 0.720
0.309 0.810 0.119
0.356 0.195 0.282
0.413 0.695 0.839
0.425 0.586 0.280
0.500 0.000 0.500
0.575 0.414 0.720
0.587 0.305 0.161
0.644 0.805 0.718
0.691 0.190 0.881
0.694 0.855 0.280
0.806 0.086 0.161
0.809 0.690 0.500
0.856 0.574 0.161
0.913 0.074 0.718
0.925 0.645 0.839
```

Entry 10:
DFT (PBE) results for MgTaCd2B after structural relaxation.

Calculated total energy, eV/atom: -3.326
DOS at the Fermi energy, states/eV per atom: 0.685
Energy relative to the elements, kJ/mol of atoms: 102.7
Magnetic moment, μB per formula unit: 0.0

The structure in POSCAR format:
```
MgTaCd2B
1.0
5.477 0.000 0.000
0.000 5.477 0.000
0.000 0.000 4.190
Mg Ta Cd B
1 1 2 1
direct
0.000 0.000 0.000
0.500 0.500 0.500
0.000 0.500 0.500
0.500 0.000 0.500
0.500 0.500 0.000
```

Entry 11:
DFT (PBE) results for TiVGe2 after structural relaxation.

Calculated total energy, eV/atom: -6.692
DOS at the Fermi energy, states/eV per atom: 1.518
Energy relative to the elements, kJ/mol of atoms: -12.5
Magnetic moment, μB per formula unit: 1.0

The structure in POSCAR format:
```
TiVGe2
1.0
0.000 3.143 3.143
3.143 0.000 3.143
3.143 3.143 0.000
Ti V Ge
1 1 2
direct
0.000 0.000 0.000
0.500 0.500 0.500
0.250 0.250 0.250
0.750 0.750 0.750
```

Entry 12:
DFT (PBE) results for Tm8Ge5P after structural relaxation.

Calculated total energy, eV/atom: -5.505
DOS at the Fermi energy, states/eV per atom: 0.538
Energy relative to the elements, kJ/mol of atoms: -88.2
Magnetic moment, μB per formula unit: 0.0

The structure in POSCAR format:
```
Tm8Ge5P
1.0
-4.317 4.317 4.342
4.317 -4.317 4.342
4.317 4.317 -4.342
Tm Ge P
8 5 1
direct
0.005 0.127 0.746
0.241 0.490 0.614
0.373 0.759 0.249
0.381 0.259 0.254
0.510 0.124 0.751
0.741 0.995 0.123
0.873 0.619 0.877
0.876 0.627 0.386
0.000 0.374 0.125
0.125 0.000 0.375
0.249 0.875 0.875
0.500 0.500 0.000
0.626 0.751 0.625
0.750 0.250 0.500
```

Entry 13:
DFT (PBE) results for Pr7Tl2Hg2 after structural relaxation.

Calculated total energy, eV/atom: -3.609
DOS at the Fermi energy, states/eV per atom: 1.339
Energy relative to the elements, kJ/mol of atoms: -7.9
Magnetic moment, μB per formula unit: 0.0

The structure in POSCAR format:
```
Pr7Tl2Hg2
1.0
4.036 -5.745 0.000
4.036 5.745 0.000
0.000 0.000 8.217
Pr Tl Hg
7 2 2
direct
0.000 0.000 0.000
0.000 0.500 0.287
0.000 0.500 0.713
0.500 0.000 0.287
0.500 0.000 0.713
0.500 0.500 0.251
0.500 0.500 0.749
0.182 0.182 0.500
0.818 0.818 0.500
0.284 0.716 0.000
0.716 0.284 0.000
```

Entry 14:
DFT (PBE) results for ZnReS after structural relaxation.

Calculated total energy, eV/atom: -5.804
DOS at the Fermi energy, states/eV per atom: 0.569
Magnetic moment, μB per formula unit: 0.1

The structure in POSCAR format:
```
ZnReS
1.0
12.028 0.000 0.000
0.000 1.477 2.559
0.000 -1.477 2.559
Zn Re S
2 2 2
direct
0.171 0.000 0.000
0.829 0.000 0.000
0.000 0.667 0.667
0.500 0.666 0.666
0.356 0.332 0.332
0.644 0.332 0.332
```

Entry 15:
DFT (PBE) results for Er4Te5Ir after structural relaxation.

Calculated total energy, eV/atom: -5.295
DOS at the Fermi energy, states/eV per atom: 0.554
Magnetic moment, μB per formula unit: 0.0

The structure in POSCAR format:
```
Er4Te5Ir
1.0
9.216 -2.090 0.000
9.216 2.090 0.000
-1.868 0.000 8.234
Er Te Ir
4 5 1
direct
0.000 0.000 0.233
0.000 0.000 0.767
0.342 0.342 0.917
0.658 0.658 0.083
0.167 0.167 0.343
0.169 0.169 0.824
0.500 0.500 0.500
0.831 0.831 0.176
0.833 0.833 0.657
0.500 0.500 0.000
```

Entry 16:
DFT (PBE) results for Tb2Ho3Te2 after structural relaxation.

Calculated total energy, eV/atom: -4.885
DOS at the Fermi energy, states/eV per atom: 0.989
Magnetic moment, μB per formula unit: 0.0

The structure in POSCAR format:
```
Tb2Ho3Te2
1.0
6.478 -1.987 0.000
6.478 1.987 0.000
-3.100 0.000 7.930
Tb Ho Te
2 3 2
direct
0.137 0.137 0.300
0.863 0.863 0.700
0.381 0.381 0.055
0.500 0.500 0.500
0.619 0.619 0.945
0.180 0.180 0.707
0.820 0.820 0.293
```

Entry 17:
DFT (PBE) results for PmHoGaRh after structural relaxation.

Calculated total energy, eV/atom: -5.631
DOS at the Fermi energy, states/eV per atom: 0.754
Energy relative to the elements, kJ/mol of atoms: -68.0
Magnetic moment, μB per formula unit: 0.0

The structure in POSCAR format:
```
PmHoGaRh
1.0
3.941 0.000 0.000
0.000 2.149 5.507
0.000 -2.149 5.507
Pm Ho Ga Rh
1 1 1 1
direct
0.000 0.000 0.000
0.500 0.286 0.286
0.500 0.585 0.585
0.000 0.738 0.738
```

Entry 18:
DFT (PBE) results for HgTe2Rh after structural relaxation.

Calculated total energy, eV/atom: -3.009
DOS at the Fermi energy, states/eV per atom: 0.728
Magnetic moment, μB per formula unit: 0.0

The structure in POSCAR format:
```
HgTe2Rh
1.0
0.000 3.577 3.577
3.577 0.000 3.577
3.577 3.577 0.000
Hg Te Rh
1 2 1
direct
0.000 0.000 0.000
0.500 0.500 0.500
0.750 0.750 0.750
0.250 0.250 0.250
```

Entry 19:
DFT (PBE) results for TbYSc2 after structural relaxation.

Calculated total energy, eV/atom: -5.667
DOS at the Fermi energy, states/eV per atom: 1.877
Energy relative to the elements, kJ/mol of atoms: 26.3
Magnetic moment, μB per formula unit: 1.2

The structure in POSCAR format:
```
TbYSc2
1.0
3.266 0.000 0.000
0.000 3.364 0.000
0.000 0.000 10.565
Tb Y Sc
1 1 2
direct
0.000 0.000 0.000
0.500 0.000 0.500
0.500 0.500 0.231
0.500 0.500 0.769
```

Entry 20:
DFT (PBE) results for Pm4Zn3Ni after structural relaxation.

Calculated total energy, eV/atom: -3.880
DOS at the Fermi energy, states/eV per atom: 0.775
Energy relative to the elements, kJ/mol of atoms: -29.3
Magnetic moment, μB per formula unit: 0.0

The structure in POSCAR format:
```
Pm4Zn3Ni
1.0
3.616 0.000 0.000
0.000 3.616 0.000
0.000 0.000 14.457
Pm Zn Ni
4 3 1
direct
0.000 0.000 0.114
0.000 0.000 0.372
0.000 0.000 0.628
0.000 0.000 0.886
0.500 0.500 0.246
0.500 0.500 0.500
0.500 0.500 0.754
0.500 0.500 0.000
```